# YTm6Sc3 PBE relaxed
data_YTm6Sc3
_space_group_name_H-M_alt 'P 1'
_space_group_IT_number 1
_space_group_name_Hall 'P 1'
_cell_length_a 6.169
_cell_length_b 11.101
_cell_length_c 11.101
_cell_angle_alpha 130.59
_cell_angle_beta 90.00
_cell_angle_gamma 90.00
loop_
_atom_site_label
_atom_site_fract_x
_atom_site_fract_y
_atom_site_fract_z
Tm1 0.579 0.263 0.377
Tm2 0.079 0.377 0.263
Tm3 0.579 0.623 0.737
Tm4 0.789 0.304 0.696
Tm5 0.079 0.737 0.623
Tm6 0.827 0.896 0.459
Tm7 0.795 0.014 0.986
Tm8 0.827 0.541 0.104
Tm9 0.289 0.696 0.304
Tm10 0.295 0.986 0.014
Tm11 0.327 0.459 0.896
Tm12 0.327 0.104 0.541
Sc1 0.603 0.583 0.417
Sc2 0.487 0.295 0.042
Sc3 0.987 0.042 0.295
Sc4 0.987 0.705 0.958
Sc5 0.487 0.958 0.705
Sc6 0.103 0.417 0.583
Y1 0.513 0.841 0.159
Y2 0.013 0.159 0.841
# - DFT formation energy (meV/atom) = 126
# - Fermi-level density of states (states/eV per cell) = 30.005
# - total magnetization (μB per formula unit) = 0.00
# - uncorrected energy (eV for the cell shown) = -102.1
# - space group = Cmc2_1, No. 36
# - energy above the lowest structure with this stoichiometry (eV per atom) = 0.0000